DFT (PBE) results for a geometry-optimized AcEuHPt structure.

- Final energy: -6.450 eV/atom
- Total magnetic moment: 29.05 μB/cell

Structure (CIF):
```
data_AcEuHPt
_chemical_formula_sum 'Ac4 Eu4 H4 Pt4'
_cell_length_a 7.231
_cell_length_b 7.231
_cell_length_c 7.231
_cell_angle_alpha 90.00
_cell_angle_beta 90.00
_cell_angle_gamma 90.00
_space_group_name_H-M_alt 'F -4 3 m'
_space_group_IT_number 216
_space_group_name_Hall 'F -4 2 3'
loop_
_atom_site_label
_atom_site_fract_x
_atom_site_fract_y
_atom_site_fract_z
_atom_site_occupancy
Ac1 0.000 0.000 0.000 1
Eu1 0.000 0.000 0.500 1
H1 0.250 0.250 0.250 1
Pt1 0.250 0.250 0.750 1
```

---

DFT (PBE) results for a geometry-optimized SrAlSe3 structure.

- Total magnetic moment: 0.00 μB/cell
- Raw formation energy: -1.2063 eV per atom
- Offset from the most stable computed form: 0 meV/atom

Structure (CIF):
```
data_SrAlSe3
_chemical_formula_sum 'Sr4 Al4 Se12'
_cell_length_a 10.686
_cell_length_b 5.898
_cell_length_c 11.645
_cell_angle_alpha 90.00
_cell_angle_beta 117.14
_cell_angle_gamma 90.00
_space_group_name_H-M_alt 'P 1 21/c 1'
_space_group_IT_number 14
loop_
_space_group_symop_operation_xyz
'x,y,z'
'-x,-y,-z'
'-x,y+1/2,-z+1/2'
'x,-y+1/2,z+1/2'
loop_
_atom_site_label
_atom_site_fract_x
_atom_site_fract_y
_atom_site_fract_z
_atom_site_occupancy
Sr1 0.220 0.197 0.126 1
Al1 0.487 0.748 0.495 1
Se1 0.078 0.630 0.980 1
Se2 0.299 0.021 0.907 1
Se3 0.493 0.004 0.659 1
```

---

DFT (PBE) results for a geometry-optimized PIr2W2 structure.

- Total magnetic moment: 0.00 μB/cell
- Energy of formation from the pure elements: 0.234 eV/atom
- Offset from the most stable computed form: 0 meV/atom

Structure (CIF):
```
data_PIr2W2
_chemical_formula_sum 'P2 Ir4 W4'
_cell_length_a 7.654
_cell_length_b 7.654
_cell_length_c 2.796
_cell_angle_alpha 90.00
_cell_angle_beta 90.00
_cell_angle_gamma 90.00
_space_group_name_H-M_alt 'P 4/m b m'
_space_group_IT_number 127
_space_group_name_Hall '-P 4 2ab'
loop_
_atom_site_label
_atom_site_fract_x
_atom_site_fract_y
_atom_site_fract_z
_atom_site_occupancy
P1 0.000 0.000 0.000 1
Ir1 0.127 0.373 0.500 1
W1 0.167 0.667 0.000 1
```

---

DFT (PBE) results for a geometry-optimized Cs2Sr3Br8 structure.

- Total magnetic moment: 0.00 μB/cell
- Raw formation energy: -2.0394 eV per atom

Structure (CIF):
```
data_Cs2Sr3Br8
_chemical_formula_sum 'Cs4 Sr6 Br16'
_cell_length_a 17.476
_cell_length_b 9.292
_cell_length_c 7.961
_cell_angle_alpha 90.00
_cell_angle_beta 109.03
_cell_angle_gamma 90.00
_space_group_name_H-M_alt 'C 1 2/m 1'
_space_group_IT_number 12
loop_
_space_group_symop_operation_xyz
'x,y,z'
'-x,-y,-z'
'-x,y,-z'
'x,-y,z'
'x+1/2,y+1/2,z'
'-x+1/2,-y+1/2,-z'
'-x+1/2,y+1/2,-z'
'x+1/2,-y+1/2,z'
loop_
_atom_site_label
_atom_site_fract_x
_atom_site_fract_y
_atom_site_fract_z
_atom_site_occupancy
Cs1 0.229 0.000 0.165 1
Sr1 0.000 0.242 0.500 1
Sr2 0.000 0.500 0.000 1
Br1 0.097 0.500 0.404 1
Br2 0.104 0.277 0.891 1
Br3 0.110 0.000 0.463 1
```

---

DFT (PBE) results for a geometry-optimized CaZrIn2 structure.

- Total magnetic moment: 0.00 μB/cell
- Energy of formation from the pure elements: -0.184 eV/atom

Structure (CIF):
```
data_CaZrIn2
_chemical_formula_sum 'Ca2 Zr2 In4'
_cell_length_a 11.711
_cell_length_b 3.355
_cell_length_c 5.468
_cell_angle_alpha 90.00
_cell_angle_beta 109.49
_cell_angle_gamma 90.00
_space_group_name_H-M_alt 'C 1 m 1'
_space_group_IT_number 8
loop_
_space_group_symop_operation_xyz
'x,y,z'
'x,-y,z'
'x+1/2,y+1/2,z'
'x+1/2,-y+1/2,z'
loop_
_atom_site_label
_atom_site_fract_x
_atom_site_fract_y
_atom_site_fract_z
_atom_site_occupancy
Ca1 0.000 0.000 0.000 1
Zr1 0.225 0.000 0.622 1
In1 0.254 0.500 0.140 1
In2 0.476 0.000 0.503 1
```

---

DFT (PBE) results for a geometry-optimized SrTmTlAu structure.

- Total magnetic moment: 0.00 μB/cell
- Energy of formation from the pure elements: -0.477 eV/atom

Structure (CIF):
```
data_SrTmTlAu
_chemical_formula_sum 'Sr4 Tm4 Tl4 Au4'
_cell_length_a 7.597
_cell_length_b 7.597
_cell_length_c 7.597
_cell_angle_alpha 90.00
_cell_angle_beta 90.00
_cell_angle_gamma 90.00
_space_group_name_H-M_alt 'F -4 3 m'
_space_group_IT_number 216
_space_group_name_Hall 'F -4 2 3'
loop_
_atom_site_label
_atom_site_fract_x
_atom_site_fract_y
_atom_site_fract_z
_atom_site_occupancy
Sr1 0.000 0.000 0.000 1
Tm1 0.000 0.000 0.500 1
Tl1 0.250 0.250 0.250 1
Au1 0.250 0.250 0.750 1
```

---

DFT (PBE) results for a geometry-optimized ThP2N4 structure.

- Total magnetic moment: 0.00 μB/cell
- Raw formation energy: -0.7757 eV per atom

Structure (CIF):
```
data_ThP2N4
_chemical_formula_sum 'Th4 P8 N16'
_cell_length_a 8.895
_cell_length_b 6.120
_cell_length_c 7.446
_cell_angle_alpha 90.00
_cell_angle_beta 121.39
_cell_angle_gamma 90.00
_space_group_name_H-M_alt 'C 1 2 1'
_space_group_IT_number 5
loop_
_space_group_symop_operation_xyz
'x,y,z'
'-x,y,-z'
'x+1/2,y+1/2,z'
'-x+1/2,y+1/2,-z'
loop_
_atom_site_label
_atom_site_fract_x
_atom_site_fract_y
_atom_site_fract_z
_atom_site_occupancy
Th1 0.000 0.000 0.000 1
Th2 0.000 0.255 0.500 1
P1 0.094 0.667 0.395 1
P2 0.243 0.391 0.197 1
N1 0.034 0.901 0.701 1
N2 0.150 0.301 0.966 1
N3 0.190 0.645 0.248 1
N4 0.223 0.229 0.367 1
```

---

DFT (PBE) results for a geometry-optimized Cs2ZnO2 structure.

- Total magnetic moment: 0.00 μB/cell
- Raw formation energy: -1.2646 eV per atom

Structure (CIF):
```
data_Cs2ZnO2
_chemical_formula_sum 'Cs8 Zn4 O8'
_cell_length_a 13.302
_cell_length_b 6.118
_cell_length_c 8.712
_cell_angle_alpha 90.00
_cell_angle_beta 128.90
_cell_angle_gamma 90.00
_space_group_name_H-M_alt 'C 1 2/m 1'
_space_group_IT_number 12
loop_
_space_group_symop_operation_xyz
'x,y,z'
'-x,-y,-z'
'-x,y,-z'
'x,-y,z'
'x+1/2,y+1/2,z'
'-x+1/2,-y+1/2,-z'
'-x+1/2,y+1/2,-z'
'x+1/2,-y+1/2,z'
loop_
_atom_site_label
_atom_site_fract_x
_atom_site_fract_y
_atom_site_fract_z
_atom_site_occupancy
Cs1 0.058 0.000 0.282 1
Cs2 0.177 0.500 0.067 1
Zn1 0.130 0.500 0.636 1
O1 0.020 0.500 0.354 1
O2 0.201 0.000 0.134 1
```

---

DFT (PBE) results for a geometry-optimized Li2InSe2 structure.

- Total magnetic moment: 0.00 μB/cell
- Raw formation energy: -0.7240 eV per atom

Structure (CIF):
```
data_Li2InSe2
_chemical_formula_sum 'Li4 In2 Se4'
_cell_length_a 8.112
_cell_length_b 8.112
_cell_length_c 3.033
_cell_angle_alpha 90.00
_cell_angle_beta 90.00
_cell_angle_gamma 90.00
_space_group_name_H-M_alt 'P 4/m b m'
_space_group_IT_number 127
_space_group_name_Hall '-P 4 2ab'
loop_
_atom_site_label
_atom_site_fract_x
_atom_site_fract_y
_atom_site_fract_z
_atom_site_occupancy
Li1 0.132 0.368 0.000 1
In1 0.000 0.000 0.500 1
Se1 0.165 0.665 0.500 1
```

---

DFT (PBE) results for a geometry-optimized Fe2SiIrAu structure.

- Total magnetic moment: 0.11 μB/cell
- Raw formation energy: 1.5825 eV per atom

Structure (CIF):
```
data_Fe2SiIrAu
_chemical_formula_sum 'Fe2 Si1 Ir1 Au1'
_cell_length_a 4.409
_cell_length_b 4.409
_cell_length_c 5.112
_cell_angle_alpha 90.00
_cell_angle_beta 90.00
_cell_angle_gamma 90.00
_space_group_name_H-M_alt 'P 4/m m m'
_space_group_IT_number 123
_space_group_name_Hall '-P 4 2'
loop_
_atom_site_label
_atom_site_fract_x
_atom_site_fract_y
_atom_site_fract_z
_atom_site_occupancy
Fe1 0.000 0.500 0.000 1
Si1 0.000 0.000 0.500 1
Ir1 0.500 0.500 0.000 1
Au1 0.500 0.500 0.500 1
```

---

DFT (PBE) results for a geometry-optimized Na2PdS2 structure.

- Total magnetic moment: 0.00 μB/cell
- Raw formation energy: -0.8021 eV per atom

Structure (CIF):
```
data_Na2PdS2
_chemical_formula_sum 'Na4 Pd2 S4'
_cell_length_a 6.549
_cell_length_b 9.045
_cell_length_c 3.449
_cell_angle_alpha 90.00
_cell_angle_beta 90.00
_cell_angle_gamma 90.00
_space_group_name_H-M_alt 'P b a m'
_space_group_IT_number 55
loop_
_space_group_symop_operation_xyz
'x,y,z'
'-x,-y,-z'
'-x,-y,z'
'x,y,-z'
'x+1/2,-y+1/2,-z'
'-x+1/2,y+1/2,z'
'-x+1/2,y+1/2,-z'
'x+1/2,-y+1/2,z'
loop_
_atom_site_label
_atom_site_fract_x
_atom_site_fract_y
_atom_site_fract_z
_atom_site_occupancy
Na1 0.094 0.166 0.000 1
Pd1 0.000 0.500 0.000 1
S1 0.221 0.417 0.500 1
```

---

DFT (PBE) results for a geometry-optimized MnCrIrS structure.

- Total magnetic moment: 3.17 μB/cell
- Raw formation energy: -0.1692 eV per atom
- Offset from the most stable computed form: 0 meV/atom

Structure (CIF):
```
data_MnCrIrS
_chemical_formula_sum 'Mn1 Cr1 Ir1 S1'
_cell_length_a 2.8675
_cell_length_b 2.8675
_cell_length_c 7.3473
_cell_angle_alpha 90.00
_cell_angle_beta 90.00
_cell_angle_gamma 120.00
_space_group_name_H-M_alt 'P 3 m 1'
_space_group_IT_number 156
loop_
_space_group_symop_operation_xyz
'x,y,z'
'-y,x-y,z'
'-x+y,-x,z'
'-y,-x,z'
'-x+y,y,z'
'x,x-y,z'
loop_
_atom_site_label
_atom_site_fract_x
_atom_site_fract_y
_atom_site_fract_z
_atom_site_occupancy
Mn1 0.0000 0.0000 0.0000 1
Cr1 0.0000 0.0000 0.5637 1
Ir1 0.3333 0.6667 0.2890 1
S1 0.3333 0.6667 0.7677 1
```

---

DFT (PBE) results for a geometry-optimized NaY2ZnH structure.

- Final energy: -3.865 eV/atom
- Total magnetic moment: 0.83 μB/cell

Structure (CIF):
```
data_NaY2ZnH
_chemical_formula_sum 'Na1 Y2 Zn1 H1'
_cell_length_a 4.897
_cell_length_b 4.897
_cell_length_c 4.310
_cell_angle_alpha 90.00
_cell_angle_beta 90.00
_cell_angle_gamma 90.00
_space_group_name_H-M_alt 'P 4/m m m'
_space_group_IT_number 123
_space_group_name_Hall '-P 4 2'
loop_
_atom_site_label
_atom_site_fract_x
_atom_site_fract_y
_atom_site_fract_z
_atom_site_occupancy
Na1 0.000 0.000 0.000 1
Y1 0.000 0.500 0.500 1
Zn1 0.500 0.500 0.000 1
H1 0.000 0.000 0.500 1
```

---

DFT (PBE) results for a geometry-optimized Ce2Tm3Sn3 structure.

- Total magnetic moment: 4.04 μB/cell
- Energy of formation from the pure elements: -0.604 eV/atom

Structure (CIF):
```
data_Ce2Tm3Sn3
_chemical_formula_sum 'Ce4 Tm6 Sn6'
_cell_length_a 9.1289
_cell_length_b 9.1289
_cell_length_c 6.2735
_cell_angle_alpha 90.00
_cell_angle_beta 90.00
_cell_angle_gamma 120.00
_space_group_name_H-M_alt 'P 63/m c m'
_space_group_IT_number 193
_space_group_name_Hall '-P 6c 2'
loop_
_atom_site_label
_atom_site_fract_x
_atom_site_fract_y
_atom_site_fract_z
_atom_site_occupancy
Ce1 0.3333 0.6667 0.0000 1
Tm1 0.0000 0.2398 0.2500 1
Sn1 0.0000 0.3849 0.7500 1
```

---

DFT (PBE) results for a geometry-optimized Sc5GaBi2 structure.

- Total magnetic moment: 1.62 μB/cell
- Energy of formation from the pure elements: -0.107 eV/atom

Structure (CIF):
```
data_Sc5GaBi2
_chemical_formula_sum 'Sc20 Ga4 Bi8'
_cell_length_a 5.354
_cell_length_b 14.328
_cell_length_c 12.744
_cell_angle_alpha 90.00
_cell_angle_beta 90.00
_cell_angle_gamma 90.00
_space_group_name_H-M_alt 'C m c m'
_space_group_IT_number 63
_space_group_name_Hall '-C 2c 2'
loop_
_atom_site_label
_atom_site_fract_x
_atom_site_fract_y
_atom_site_fract_z
_atom_site_occupancy
Sc1 0.000 0.083 0.116 1
Sc2 0.000 0.293 0.750 1
Sc3 0.000 0.305 0.037 1
Ga1 0.000 0.226 0.250 1
Bi1 0.000 0.124 0.606 1
```

---

DFT (PBE) results for a geometry-optimized FeMo2Cl structure.

- Total magnetic moment: 4.35 μB/cell
- Raw formation energy: 0.8251 eV per atom
- Offset from the most stable computed form: 540 meV/atom

Structure (CIF):
```
data_FeMo2Cl
_chemical_formula_sum 'Fe2 Mo4 Cl2'
_cell_length_a 5.218
_cell_length_b 8.172
_cell_length_c 2.799
_cell_angle_alpha 90.00
_cell_angle_beta 90.00
_cell_angle_gamma 90.00
_space_group_name_H-M_alt 'C m m m'
_space_group_IT_number 65
_space_group_name_Hall '-C 2 2'
loop_
_atom_site_label
_atom_site_fract_x
_atom_site_fract_y
_atom_site_fract_z
_atom_site_occupancy
Fe1 0.000 0.000 0.000 1
Mo1 0.250 0.250 0.500 1
Cl1 0.000 0.500 0.000 1
```

---

DFT (PBE) results for a geometry-optimized UPRh structure.

- Total magnetic moment: 4.49 μB/cell
- Energy of formation from the pure elements: -0.760 eV/atom

Structure (CIF):
```
data_UPRh
_chemical_formula_sum 'U2 P2 Rh2'
_cell_length_a 3.906
_cell_length_b 3.906
_cell_length_c 6.778
_cell_angle_alpha 90.00
_cell_angle_beta 90.00
_cell_angle_gamma 90.00
_space_group_name_H-M_alt 'P 4/n m m'
_space_group_IT_number 129
loop_
_space_group_symop_operation_xyz
'x,y,z'
'-x,-y,-z'
'-y+1/2,x,z'
'y+1/2,-x,-z'
'-x+1/2,-y+1/2,z'
'x+1/2,y+1/2,-z'
'y,-x+1/2,z'
'-y,x+1/2,-z'
'x+1/2,-y,-z'
'-x+1/2,y,z'
'-y,-x,-z'
'y,x,z'
'-x,y+1/2,-z'
'x,-y+1/2,z'
'y+1/2,x+1/2,-z'
'-y+1/2,-x+1/2,z'
loop_
_atom_site_label
_atom_site_fract_x
_atom_site_fract_y
_atom_site_fract_z
_atom_site_occupancy
U1 0.250 0.250 0.145 1
P1 0.250 0.250 0.731 1
Rh1 0.250 0.750 0.500 1
```

---

DFT (PBE) results for a geometry-optimized Tm4TlAu structure.

- Total magnetic moment: 0.00 μB/cell
- Energy of formation from the pure elements: -0.205 eV/atom

Structure (CIF):
```
data_Tm4TlAu
_chemical_formula_sum 'Tm8 Tl2 Au2'
_cell_length_a 7.394
_cell_length_b 7.070
_cell_length_c 7.010
_cell_angle_alpha 90.00
_cell_angle_beta 90.92
_cell_angle_gamma 90.00
_space_group_name_H-M_alt 'P 1 21/c 1'
_space_group_IT_number 14
loop_
_space_group_symop_operation_xyz
'x,y,z'
'-x,-y,-z'
'-x,y+1/2,-z+1/2'
'x,-y+1/2,z+1/2'
loop_
_atom_site_label
_atom_site_fract_x
_atom_site_fract_y
_atom_site_fract_z
_atom_site_occupancy
Tm1 0.147 0.159 0.166 1
Tm2 0.327 0.646 0.137 1
Tl1 0.500 0.000 0.000 1
Au1 0.000 0.000 0.500 1
```

---

DFT (PBE) results for a geometry-optimized ZnSn2PbCl8 structure.

- Total magnetic moment: 0.00 μB/cell
- Raw formation energy: -1.0200 eV per atom

Structure (CIF):
```
data_ZnSn2PbCl8
_chemical_formula_sum 'Zn1 Sn2 Pb1 Cl8'
_cell_length_a 6.391
_cell_length_b 6.686
_cell_length_c 8.422
_cell_angle_alpha 89.79
_cell_angle_beta 89.79
_cell_angle_gamma 89.05
_space_group_name_H-M_alt 'P -1'
_space_group_IT_number 2
loop_
_space_group_symop_operation_xyz
'x,y,z'
'-x,-y,-z'
loop_
_atom_site_label
_atom_site_fract_x
_atom_site_fract_y
_atom_site_fract_z
_atom_site_occupancy
Zn1 0.000 0.000 0.000 1
Sn1 0.496 0.483 0.766 1
Pb1 0.000 0.000 0.500 1
Cl1 0.188 0.840 0.794 1
Cl2 0.240 0.848 0.225 1
Cl3 0.248 0.310 0.982 1
Cl4 0.273 0.339 0.518 1
```

---

DFT (PBE) results for a geometry-optimized K3NpCd2S6 structure.

- Total magnetic moment: 4.00 μB/cell
- Raw formation energy: -1.0100 eV per atom

Structure (CIF):
```
data_K3NpCd2S6
_chemical_formula_sum 'K6 Np2 Cd4 S12'
_cell_length_a 6.883
_cell_length_b 11.968
_cell_length_c 7.707
_cell_angle_alpha 90.00
_cell_angle_beta 107.19
_cell_angle_gamma 90.00
_space_group_name_H-M_alt 'C 1 2/m 1'
_space_group_IT_number 12
loop_
_space_group_symop_operation_xyz
'x,y,z'
'-x,-y,-z'
'-x,y,-z'
'x,-y,z'
'x+1/2,y+1/2,z'
'-x+1/2,-y+1/2,-z'
'-x+1/2,y+1/2,-z'
'x+1/2,-y+1/2,z'
loop_
_atom_site_label
_atom_site_fract_x
_atom_site_fract_y
_atom_site_fract_z
_atom_site_occupancy
K1 0.000 0.000 0.000 1
K2 0.000 0.328 0.000 1
Np1 0.000 0.500 0.500 1
Cd1 0.000 0.166 0.500 1
S1 0.227 0.340 0.701 1
S2 0.250 0.000 0.704 1
```